# PmIn2BrO4

A geometry-optimized PmIn2BrO4 structure (PBE, the Alexandria database).

## Properties
Formation energy from raw total energies (eV per atom): -1.78
Spin magnetization (Bohr magnetons per cell): 0.0
N(E_F) (states/eV/f.u.): 0.33

Cell lengths 3.9728, 3.9728, 8.9887 Å; angles 90.00, 90.00, 90.00 degrees
With the nearest neighbours (Å) after each atom.
Sites, in units of the cell vectors:
1 Pm 0.0000 0.0000 0.0000  8 O 2.46
2 In 0.5000 0.5000 0.2498  4 O 2.14
3 In 0.5000 0.5000 0.7502  4 O 2.14
4 Br 0.0000 0.0000 0.5000  8 In 3.60, 8 O 3.63, 4 Br 3.97
5 O 0.0000 0.5000 0.1614  2 In 2.14
6 O 0.0000 0.5000 0.8386  2 In 2.14
7 O 0.5000 0.0000 0.1614  2 In 2.14
8 O 0.5000 0.0000 0.8386  2 In 2.14